Below is a relaxed Ba2CdSb2O6 crystal, with properties calculated at the PBE level.

Computed properties:
- size of the total moment (Bohr magnetons per cell) = 1.8
- mass density (Mg/m³) = 5.56
- energy (eV per atom) = -5.386
- formation energy from raw total energies (eV per atom) = -1.499
- DOS(E_F) (states/eV/cell) = 3.26

Unit cell a=7.078 b=7.078 c=7.078 alpha=54.22 beta=54.22 gamma=54.22
Atoms (fractional coordinates):
Ba 0.205 0.205 0.205
Ba 0.795 0.795 0.795
Cd 0.000 0.000 0.000
Sb 0.422 0.422 0.422
Sb 0.578 0.578 0.578
O 0.217 0.758 0.758
O 0.242 0.242 0.783
O 0.242 0.783 0.242
O 0.758 0.217 0.758
O 0.758 0.758 0.217
O 0.783 0.242 0.242

Below is a relaxed Ta2OsBr crystal, with properties calculated at the PBE level.

Computed properties:
- E above lowest polymorph (eV per atom) = 0.335
- size of the total moment (Bohr magnetons per cell) = 0.0
- mass density (Mg/m³) = 15.41
- energy (eV per atom) = -8.675
- formation energy from raw total energies (eV per atom) = 0.477
- DOS(E_F) (states/eV/cell) = 3.90

Unit cell a=4.795 b=4.795 c=2.963 alpha=90.00 beta=90.00 gamma=90.00
Atoms (fractional coordinates):
Ta 0.000 0.500 0.000
Ta 0.500 0.000 0.000
Os 0.000 0.000 0.500
Br 0.500 0.500 0.500

Below is a relaxed YTaCd2 crystal, with properties calculated at the PBE level.

Computed properties:
- E above lowest polymorph (eV per atom) = 0.342
- size of the total moment (Bohr magnetons per cell) = 11.4
- mass density (Mg/m³) = 8.88
- energy (eV per atom) = -4.578
- DOS(E_F) (states/eV/cell) = 11.07

Unit cell a=7.179 b=7.179 c=7.179 alpha=90.00 beta=90.00 gamma=90.00
Atoms (fractional coordinates):
Y 0.000 0.000 0.000
Y 0.000 0.500 0.500
Y 0.500 0.000 0.500
Y 0.500 0.500 0.000
Ta 0.250 0.250 0.250
Ta 0.250 0.750 0.750
Ta 0.750 0.250 0.750
Ta 0.750 0.750 0.250
Cd 0.000 0.000 0.500
Cd 0.000 0.500 0.000
Cd 0.250 0.250 0.750
Cd 0.250 0.750 0.250
Cd 0.500 0.000 0.000
Cd 0.500 0.500 0.500
Cd 0.750 0.250 0.250
Cd 0.750 0.750 0.750

Please write out number 3 again, unchanged.
Below is a relaxed YTaCd2 crystal, with properties calculated at the PBE level.

Computed properties:
- E above lowest polymorph (eV per atom) = 0.342
- size of the total moment (Bohr magnetons per cell) = 11.4
- mass density (Mg/m³) = 8.88
- energy (eV per atom) = -4.578
- DOS(E_F) (states/eV/cell) = 11.07

Unit cell a=7.179 b=7.179 c=7.179 alpha=90.00 beta=90.00 gamma=90.00
Atoms (fractional coordinates):
Y 0.000 0.000 0.000
Y 0.000 0.500 0.500
Y 0.500 0.000 0.500
Y 0.500 0.500 0.000
Ta 0.250 0.250 0.250
Ta 0.250 0.750 0.750
Ta 0.750 0.250 0.750
Ta 0.750 0.750 0.250
Cd 0.000 0.000 0.500
Cd 0.000 0.500 0.000
Cd 0.250 0.250 0.750
Cd 0.250 0.750 0.250
Cd 0.500 0.000 0.000
Cd 0.500 0.500 0.500
Cd 0.750 0.250 0.250
Cd 0.750 0.750 0.750